## CsK3Cu2P2 (PBE)

Data for an optimized crystal structure of CsK3Cu2P2.

a = 6.2584 Å, b = 5.8802 Å, c = 6.3948 Å
α = 90.00°, β = 107.29°, γ = 90.00°
Last column: nearest neighbours and their distance in Å.
Fractional positions:
Cu (0.9952, 0.7516, 0.9995)  2 P 2.26
Cu (0.9952, 0.2484, 0.9995)  2 P 2.26
K (0.8171, 0.0000, 0.4884)  4 P 3.35-3.63, 3 K 3.41-3.71, 2 Cu 3.45, 2 Cs 3.68
K (0.1863, 0.5000, 0.5187)  4 P 3.31-3.60, 1 Cs 3.46, 2 Cu 3.50, 2 K 3.67
K (0.4739, 0.0000, 0.8150)  3 K 3.41-3.67, 2 Cu 3.45, 4 P 3.53-3.60, 2 Cs 3.72
Cs (0.5320, 0.5000, 0.1847)  5 K 3.46-3.72, 4 P 3.53-3.61, 4 Cu 3.54-3.75
P (0.2158, 0.0000, 0.2363)  2 Cu 2.26
P (0.7845, 0.5000, 0.7578)  2 Cu 2.26

Summary:
Calculated volume: 28.09 Å³/atom
Energy: -24.817 eV/f.u.

***

## Cs3KCu2P2 (PBE)

Data for an optimized crystal structure of Cs3KCu2P2.

a = 6.5495 Å, b = 6.1884 Å, c = 6.6134 Å
α = 90.00°, β = 109.59°, γ = 90.00°
Last column: nearest neighbours and their distance in Å.
Fractional positions:
Cs (0.1831, 0.5000, 0.5182)  4 P 3.55-3.74, 2 Cu 3.61, 3 Cs 3.65-3.84, 2 K 3.86
Cs (0.5287, 0.5000, 0.1857)  4 Cu 3.61-4.02, 4 P 3.64-3.83, 3 Cs 3.65-3.88, 2 K 3.84
Cs (0.4812, 0.0000, 0.8176)  2 Cu 3.56, 1 K 3.59, 4 P 3.73-3.75, 4 Cs 3.84-3.88
P (0.1981, 0.0000, 0.2224)  2 Cu 2.25
P (0.7862, 0.5000, 0.7760)  2 Cu 2.25
Cu (0.0001, 0.2510, 0.9943)  2 P 2.25
Cu (0.0001, 0.7490, 0.9943)  2 P 2.25
K (0.8223, 0.0000, 0.4916)  4 P 3.49-3.87, 2 Cu 3.50, 5 Cs 3.59-3.86

Summary:
Calculated volume: 31.57 Å³/atom
Energy: -24.090 eV/f.u.

***

## CsK2Rb2CuSb2 (PBE)

Data for an optimized crystal structure of CsK2Rb2CuSb2.

a = 10.2595 Å, b = 10.2595 Å, c = 10.2595 Å
α = 34.88°, β = 34.88°, γ = 34.88°
Last column: nearest neighbours and their distance in Å.
Fractional positions:
Cu (0.0000, 0.0000, 0.0000)  2 Sb 2.52
Sb (0.0874, 0.0874, 0.0874)  1 Cu 2.52
Sb (0.9126, 0.9126, 0.9126)  1 Cu 2.52
K (0.7830, 0.7830, 0.7830)  4 Sb 3.65-3.74, 3 Cs 3.84
K (0.2170, 0.2170, 0.2170)  4 Sb 3.65-3.74, 3 Cs 3.84
Rb (0.3617, 0.3617, 0.3617)  3 Cu 3.64, 3 Rb 3.91, 3 Sb 3.94, 1 Cs 3.99
Rb (0.6383, 0.6383, 0.6383)  3 Cu 3.64, 3 Rb 3.91, 3 Sb 3.94, 1 Cs 3.99
Cs (0.5000, 0.5000, 0.5000)  6 K 3.84, 2 Rb 3.99, 6 Sb 4.22

Summary:
Polymorph energy (0 for the lowest one): 0 meV/atom
Calculated volume: 39.40 Å³/atom
Energy: -19.851 eV/f.u.

***

## CsK2Rb2CuSb2 (PBE)

Data for an optimized crystal structure of CsK2Rb2CuSb2.

a = 10.4099 Å, b = 10.4099 Å, c = 10.4099 Å
α = 34.43°, β = 34.43°, γ = 34.43°
Last column: nearest neighbours and their distance in Å.
Fractional positions:
Cs (0.5000, 0.5000, 0.5000)  6 Rb 3.89, 2 K 3.98, 6 Sb 4.28
K (0.3645, 0.3645, 0.3645)  3 Cu 3.67, 3 Sb 3.90, 1 Cs 3.98, 3 K 4.00
K (0.6355, 0.6355, 0.6355)  3 Cu 3.67, 3 Sb 3.90, 1 Cs 3.98, 3 K 4.00
Sb (0.0853, 0.0853, 0.0853)  1 Cu 2.50
Sb (0.9147, 0.9147, 0.9147)  1 Cu 2.50
Rb (0.2203, 0.2203, 0.2203)  4 Sb 3.65-3.96, 3 Cs 3.89
Rb (0.7797, 0.7797, 0.7797)  4 Sb 3.65-3.96, 3 Cs 3.89
Cu (0.0000, 0.0000, 0.0000)  2 Sb 2.50

Summary:
Polymorph energy (0 for the lowest one): 23 meV/atom
Calculated volume: 40.21 Å³/atom
Energy: -19.664 eV/f.u.

***

## Cs3K2CuSb2 (PBE)

Data for an optimized crystal structure of Cs3K2CuSb2.

a = 10.2891 Å, b = 10.2891 Å, c = 10.2891 Å
α = 35.55°, β = 35.55°, γ = 35.55°
Last column: nearest neighbours and their distance in Å.
Fractional positions:
Cs (0.6394, 0.6394, 0.6394)  3 Cu 3.71, 4 Cs 3.95-4.03, 3 Sb 4.03
Cs (0.3606, 0.3606, 0.3606)  3 Cu 3.71, 4 Cs 3.95-4.03, 3 Sb 4.03
Cs (0.5000, 0.5000, 0.5000)  6 K 3.90, 2 Cs 4.03, 6 Sb 4.28
Sb (0.0879, 0.0879, 0.0879)  1 Cu 2.54
Sb (0.9121, 0.9121, 0.9121)  1 Cu 2.54
Cu (0.0000, 0.0000, 0.0000)  2 Sb 2.54
K (0.7841, 0.7841, 0.7841)  4 Sb 3.70-3.73, 3 Cs 3.90
K (0.2159, 0.2159, 0.2159)  4 Sb 3.70-3.73, 3 Cs 3.90

Summary:
Polymorph energy (0 for the lowest one): 0 meV/atom
Calculated volume: 41.14 Å³/atom
Energy: -19.673 eV/f.u.

***

## Cs3K2CuSb2 (PBE)

Data for an optimized crystal structure of Cs3K2CuSb2.

a = 10.6346 Å, b = 10.6346 Å, c = 10.6346 Å
α = 34.39°, β = 34.39°, γ = 34.39°
Last column: nearest neighbours and their distance in Å.
Fractional positions:
Cs (0.5000, 0.5000, 0.5000)  6 Cs 3.94, 2 K 4.10, 6 Sb 4.40
Cs (0.2181, 0.2181, 0.2181)  4 Sb 3.75-4.04, 3 Cs 3.94
Cs (0.7819, 0.7819, 0.7819)  4 Sb 3.75-4.04, 3 Cs 3.94
K (0.3632, 0.3632, 0.3632)  3 Cu 3.74, 3 Sb 3.97, 3 K 4.05, 1 Cs 4.10
K (0.6368, 0.6368, 0.6368)  3 Cu 3.74, 3 Sb 3.97, 3 K 4.05, 1 Cs 4.10
Cu (0.0000, 0.0000, 0.0000)  2 Sb 2.50
Sb (0.0835, 0.0835, 0.0835)  1 Cu 2.50
Sb (0.9165, 0.9165, 0.9165)  1 Cu 2.50

Summary:
Polymorph energy (0 for the lowest one): 48 meV/atom
Calculated volume: 42.78 Å³/atom
Energy: -19.285 eV/f.u.

***

## Cs2La4Cu4S9 (PBE)

Data for an optimized crystal structure of Cs2La4Cu4S9.

a = 7.4930 Å, b = 7.4930 Å, c = 16.9886 Å
α = 106.73°, β = 106.73°, γ = 31.91°
Last column: nearest neighbours and their distance in Å.
Fractional positions:
S (0.7954, 0.7954, 0.5983)  1 Cu 2.32
S (0.8328, 0.8328, 0.2758)  2 Cu 2.30
S (0.2046, 0.2046, 0.4017)  1 Cu 2.32
S (0.6401, 0.6401, 0.9275)  2 Cu 2.44
S (0.3599, 0.3599, 0.0725)  2 Cu 2.44
S (0.9044, 0.9044, 0.8892)  2 Cu 2.38-2.41
S (0.0956, 0.0956, 0.1108)  2 Cu 2.38-2.41
S (0.1672, 0.1672, 0.7242)  2 Cu 2.30
S (0.5000, 0.5000, 0.5000)  4 La 2.95
Cu (0.0727, 0.0727, 0.9642)  4 S 2.38-2.44
Cu (0.9273, 0.9273, 0.0358)  4 S 2.38-2.44
Cu (0.7289, 0.7289, 0.7072)  3 S 2.30-2.32
Cu (0.2711, 0.2711, 0.2928)  3 S 2.30-2.32
Cs (0.4714, 0.4714, 0.7375)  7 S 3.41-3.65
Cs (0.5286, 0.5286, 0.2625)  7 S 3.41-3.65
La (0.8475, 0.8475, 0.4477)  6 S 2.85-2.95
La (0.7270, 0.7270, 0.1012)  6 S 2.83-2.95
La (0.2730, 0.2730, 0.8988)  6 S 2.83-2.95
La (0.1525, 0.1525, 0.5523)  6 S 2.85-2.95

Summary:
Calculated volume: 25.32 Å³/atom
Energy: -100.943 eV/f.u.

***

## CsLa2Cu3SeS4 (PBE)

Data for an optimized crystal structure of CsLa2Cu3SeS4.

a = 7.4373 Å, b = 7.4373 Å, c = 17.9036 Å
α = 90.00°, β = 90.00°, γ = 147.67°
Last column: nearest neighbours and their distance in Å.
Fractional positions:
S (0.9431, 0.0569, 0.1046)  2 Cu 2.35-2.56
S (0.3370, 0.6630, 0.5677)  2 Cu 2.42-2.43
S (0.6630, 0.3370, 0.0677)  2 Cu 2.42
S (0.0569, 0.9431, 0.6046)  2 Cu 2.35-2.56
S (0.0569, 0.9431, 0.8954)  2 Cu 2.35-2.56
S (0.3370, 0.6630, 0.9323)  2 Cu 2.42-2.43
S (0.6630, 0.3370, 0.4323)  2 Cu 2.42-2.43
S (0.9431, 0.0569, 0.3954)  2 Cu 2.35-2.56
Cs (0.4397, 0.5603, 0.7500)  6 S 3.58-3.72, 2 Se 3.61, 2 Cu 3.72
Cs (0.5603, 0.4397, 0.2500)  6 S 3.58-3.72, 2 Se 3.61, 2 Cu 3.72
Cu (0.0837, 0.9163, 0.4634)  4 S 2.35-2.56
Cu (0.8438, 0.1562, 0.2500)  2 Se 2.34
Cu (0.9163, 0.0837, 0.9634)  4 S 2.35-2.56
Cu (0.9163, 0.0837, 0.5366)  4 S 2.35-2.56
Cu (0.1562, 0.8438, 0.7500)  2 Se 2.34
Cu (0.0837, 0.9163, 0.0366)  4 S 2.35-2.56
La (0.3104, 0.6896, 0.0883)  5 S 2.82-2.98, 1 Se 2.96
La (0.3104, 0.6896, 0.4117)  5 S 2.82-2.98, 1 Se 2.96
La (0.6896, 0.3104, 0.5883)  5 S 2.82-2.98, 1 Se 2.96
La (0.6896, 0.3104, 0.9117)  5 S 2.82-2.98, 1 Se 2.96
Se (0.2674, 0.7326, 0.2500)  2 Cu 2.34
Se (0.7326, 0.2674, 0.7500)  2 Cu 2.34

Summary:
Calculated volume: 24.07 Å³/atom
Energy: -55.335 eV/f.u.

***

## CsLa2Cu3TeS4 (PBE)

Data for an optimized crystal structure of CsLa2Cu3TeS4.

a = 7.4605 Å, b = 7.4605 Å, c = 18.3807 Å
α = 90.00°, β = 90.00°, γ = 147.37°
Last column: nearest neighbours and their distance in Å.
Fractional positions:
Cu (0.9159, 0.0841, 0.5377)  4 S 2.34-2.59
Cu (0.9159, 0.0841, 0.9623)  4 S 2.34-2.59
Cu (0.1502, 0.8498, 0.7500)  2 Te 2.47
Cu (0.0841, 0.9159, 0.0377)  4 S 2.34-2.59
Cu (0.8498, 0.1502, 0.2500)  2 Te 2.47
Cu (0.0841, 0.9159, 0.4623)  4 S 2.34-2.59
S (0.3358, 0.6642, 0.5678)  2 Cu 2.45
S (0.0574, 0.9426, 0.8984)  2 Cu 2.34-2.59
S (0.3358, 0.6642, 0.9322)  2 Cu 2.45
S (0.6642, 0.3358, 0.0678)  2 Cu 2.45
S (0.6642, 0.3358, 0.4322)  2 Cu 2.45
S (0.9426, 0.0574, 0.3984)  2 Cu 2.34-2.59
S (0.0574, 0.9426, 0.6016)  2 Cu 2.34-2.59
S (0.9426, 0.0574, 0.1016)  2 Cu 2.34-2.59
Te (0.7414, 0.2586, 0.7500)  2 Cu 2.47
Te (0.2586, 0.7414, 0.2500)  2 Cu 2.47
La (0.6866, 0.3134, 0.9165)  5 S 2.80-3.01
La (0.3134, 0.6866, 0.0835)  5 S 2.80-3.01
La (0.6866, 0.3134, 0.5835)  5 S 2.80-3.01
La (0.3134, 0.6866, 0.4165)  5 S 2.80-3.01
Cs (0.5506, 0.4494, 0.2500)  2 Cu 3.56, 2 Te 3.64, 6 S 3.72-3.77
Cs (0.4494, 0.5506, 0.7500)  2 Cu 3.56, 2 Te 3.64, 6 S 3.72-3.77

Summary:
Calculated volume: 25.07 Å³/atom
Energy: -54.056 eV/f.u.

***

## CsLaCuSe3 (PBE)

Data for an optimized crystal structure of CsLaCuSe3.

a = 9.8237 Å, b = 4.2936 Å, c = 10.1320 Å
α = 90.00°, β = 108.66°, γ = 90.00°
Last column: nearest neighbours and their distance in Å.
Fractional positions:
La (0.1753, 0.2500, 0.6445)  6 Se 2.99-3.09
La (0.8247, 0.7500, 0.3555)  6 Se 2.99-3.09
Se (0.9699, 0.7500, 0.6643)  3 La 2.99-3.00
Se (0.0301, 0.2500, 0.3357)  3 La 2.99-3.00
Se (0.3326, 0.2500, 0.9617)  3 Cu 2.45-2.48
Se (0.6119, 0.2500, 0.3552)  1 Cu 2.42
Se (0.3881, 0.7500, 0.6448)  1 Cu 2.42
Se (0.6674, 0.7500, 0.0383)  3 Cu 2.45-2.48
Cs (0.7092, 0.2500, 0.7462)  7 Se 3.64-3.78
Cs (0.2908, 0.7500, 0.2538)  7 Se 3.64-3.78
Cu (0.5847, 0.2500, 0.1089)  4 Se 2.42-2.48
Cu (0.4153, 0.7500, 0.8911)  4 Se 2.42-2.48

Summary:
Calculated volume: 33.74 Å³/atom
Energy: -27.257 eV/f.u.

***

## CsLa2CuSe4 (PBE)

Data for an optimized crystal structure of CsLa2CuSe4.

a = 7.8842 Å, b = 7.8842 Å, c = 14.8564 Å
α = 90.00°, β = 90.00°, γ = 147.99°
Last column: nearest neighbours and their distance in Å.
Fractional positions:
Se (0.2583, 0.7417, 0.1118)  1 Cu 2.50
Se (0.4215, 0.5785, 0.7500)  2 Cu 2.53
Se (0.0000, 0.0000, 0.0000)  4 La 3.11
Se (0.0000, 0.0000, 0.5000)  4 La 3.11
Se (0.7417, 0.2583, 0.6118)  1 Cu 2.50
Se (0.2583, 0.7417, 0.3882)  1 Cu 2.50
Se (0.5785, 0.4215, 0.2500)  2 Cu 2.53
Se (0.7417, 0.2583, 0.8882)  1 Cu 2.50
Cu (0.1639, 0.8361, 0.2500)  4 Se 2.50-2.53
Cu (0.8361, 0.1639, 0.7500)  4 Se 2.50-2.53
La (0.3658, 0.6342, 0.9396)  6 Se 2.94-3.11
La (0.6342, 0.3658, 0.4396)  6 Se 2.94-3.11
La (0.6342, 0.3658, 0.0604)  6 Se 2.94-3.11
La (0.3658, 0.6342, 0.5604)  6 Se 2.94-3.11
Cs (0.1062, 0.8938, 0.7500)  6 Se 3.54-3.63
Cs (0.8938, 0.1062, 0.2500)  6 Se 3.54-3.63

Summary:
Calculated volume: 30.60 Å³/atom
Energy: -41.167 eV/f.u.

***

## CsLa2CuTe3Se (PBE)

Data for an optimized crystal structure of CsLa2CuTe3Se.

a = 8.1943 Å, b = 8.1943 Å, c = 15.8334 Å
α = 90.00°, β = 90.00°, γ = 148.25°
Last column: nearest neighbours and their distance in Å.
Fractional positions:
Te (0.2389, 0.7611, 0.1125)  1 Cu 2.66
Te (0.0736, 0.9264, 0.7500)  2 Cu 2.66
Te (0.2389, 0.7611, 0.3875)  1 Cu 2.66
Te (0.7611, 0.2389, 0.6125)  1 Cu 2.66
Te (0.7611, 0.2389, 0.8875)  1 Cu 2.66
Te (0.9264, 0.0736, 0.2500)  2 Cu 2.66
Se (0.5000, 0.5000, 0.0000)  4 La 3.14
Se (0.5000, 0.5000, 0.5000)  4 La 3.14
La (0.1271, 0.8729, 0.9422)  2 Se 3.14, 4 Te 3.16-3.22
La (0.8729, 0.1271, 0.0578)  2 Se 3.14, 4 Te 3.16-3.22
La (0.8729, 0.1271, 0.4422)  2 Se 3.14, 4 Te 3.16-3.22
La (0.1271, 0.8729, 0.5578)  2 Se 3.14, 4 Te 3.16-3.22
Cu (0.3355, 0.6645, 0.2500)  4 Te 2.66
Cu (0.6645, 0.3355, 0.7500)  4 Te 2.66
Cs (0.6087, 0.3913, 0.2500)  6 Te 3.64-3.74
Cs (0.3913, 0.6087, 0.7500)  6 Te 3.64-3.74

Summary:
Polymorph energy (0 for the lowest one): 13 meV/atom
Calculated volume: 34.97 Å³/atom
Energy: -37.958 eV/f.u.